Material: Ba2MnTcRh
Method: DFT, PBE
State: relaxed

Cell and atoms, written as extended XYZ:
```
5
Lattice="6.1170 0.0000 0.0000 0.0000 6.1170 0.0000 0.0000 0.0000 4.4487" Properties=species:S:1:pos:R:3 pbc="T T T"
Ba 0.0000 3.0585 0.0000
Ba 3.0585 0.0000 0.0000
Mn 0.0000 0.0000 0.0000
Tc 3.0585 3.0585 2.2243
Rh 0.0000 0.0000 2.2243
```

- E_form (eV/atom) = 1.155
- total magnetization (μB/cell) = 6.84
- final energy (eV/atom) = -4.9913
- space group = P4/mmm, No. 123